Record 1
Here is an optimized crystal structure of Ba6Pd3I2 from Alexandria via LeMat-Bulk. Energies are from PBE.

Cell and atoms, written as extended XYZ:
```
11
Lattice="7.732 0.000 2.309 3.866 6.982 1.155 0.070 0.000 9.210" Properties=species:S:1:pos:R:3 pbc="T T T"
Ba 5.714 4.629 9.057
Ba 1.848 2.352 7.902
Ba 5.953 2.352 3.617
Ba 5.752 0.000 9.090
Ba 9.819 4.629 4.771
Ba 2.050 0.000 2.429
Pd 0.000 0.000 0.000
Pd 3.866 2.351 1.155
Pd 7.732 4.631 2.309
I 7.767 2.322 6.914
I 3.901 4.660 5.760
```

Results
The uncorrected formation energy is -8.89 eV per formula unit. As for the space-group type: No. 12. For the calculated volume, the calculation gives 45.1 Å³ per atom.

Record 2
Here is an optimized crystal structure of Ba2PdI from Alexandria via LeMat-Bulk. Energies are from PBE.

Cell and atoms, written as extended XYZ:
```
4
Lattice="4.636 0.000 0.000 2.318 4.015 0.000 2.318 1.338 8.880" Properties=species:S:1:pos:R:3 pbc="T T T"
I 4.636 2.677 4.453
Ba 2.318 1.338 7.084
Ba 2.318 1.338 1.791
Pd 6.954 4.015 8.873
```

Results
The uncorrected formation energy is -3.92 eV per formula unit. As for the space-group type: No. 160. For the calculated volume, the calculation gives 41.3 Å³ per atom.

Record 3
Here is an optimized crystal structure of Ba6Pd3I from Alexandria via LeMat-Bulk. Energies are from PBE.

Cell and atoms, written as extended XYZ:
```
20
Lattice="-2.550 3.526 1.372 -1.906 -5.836 11.451 13.169 9.558 -0.086" Properties=species:S:1:pos:R:3 pbc="T T T"
Pd -0.830 -3.675 11.693
Pd 3.821 1.483 7.084
Pd 0.153 0.703 9.855
Pd 4.891 5.765 5.654
Pd 8.560 6.545 2.883
Pd 9.542 10.923 1.045
Ba 7.025 2.075 11.515
Ba -1.097 2.605 2.645
Ba 5.435 7.233 2.892
Ba 9.810 4.643 10.093
Ba -0.407 -2.182 8.644
Ba 1.688 5.173 1.223
Ba 0.695 2.171 7.091
Ba 8.017 5.077 5.647
Ba 4.391 4.316 8.449
Ba 9.119 9.430 4.094
Ba 4.321 2.932 4.289
Ba 3.278 0.015 9.846
I -0.366 -0.647 4.775
I 9.078 7.895 7.963
```

Results
The uncorrected formation energy is -6.09 eV per formula unit. As for the space-group type: No. 11. For the calculated volume, the calculation gives 44.5 Å³ per atom.

Record 4
Here is an optimized crystal structure of Ba9Pd3I from Alexandria via LeMat-Bulk. Energies are from PBE.

Cell and atoms, written as extended XYZ:
```
26
Lattice="8.058 0.000 -0.596 0.000 12.185 0.000 -0.422 0.000 13.355" Properties=species:S:1:pos:R:3 pbc="T T T"
Pd 0.000 6.093 0.000
Pd 4.345 6.076 4.051
Pd 3.291 6.109 8.709
Pd 3.291 12.169 8.709
Pd 4.345 0.017 4.051
Pd 0.000 0.000 0.000
Ba 2.736 11.358 1.415
Ba 4.900 0.827 11.345
Ba 0.789 6.879 10.535
Ba 2.186 3.046 8.488
Ba 5.732 5.356 6.832
Ba 4.407 9.139 9.057
Ba 0.789 11.399 10.535
Ba 3.230 3.046 3.703
Ba 6.847 0.786 2.225
Ba 2.736 6.920 1.415
Ba 5.451 9.139 4.271
Ba 0.717 3.046 12.904
Ba 6.847 5.306 2.225
Ba 1.905 11.449 5.928
Ba 6.919 9.139 -0.144
Ba 1.905 6.829 5.928
Ba 5.732 0.737 6.832
Ba 4.900 5.266 11.345
I 7.654 9.139 7.215
I -0.017 3.046 5.544
```

Results
The uncorrected formation energy is -5.91 eV per formula unit. As for the space-group type: No. 11. For the calculated volume, the calculation gives 50.3 Å³ per atom.

Record 5
Here is an optimized crystal structure of Ba3Pd3I from Alexandria via LeMat-Bulk. Energies are from PBE.

Cell and atoms, written as extended XYZ:
```
14
Lattice="-0.130 -4.624 -0.229 7.432 -0.627 8.423 -11.025 0.199 2.229" Properties=species:S:1:pos:R:3 pbc="T T T"
I -4.970 -3.544 4.122
I 1.247 -1.507 6.301
Pd -9.822 -3.355 3.065
Pd -0.257 -1.231 1.573
Pd -1.623 -3.456 0.450
Pd -3.466 -3.821 8.850
Pd 6.099 -1.696 7.358
Pd -2.101 -1.596 9.972
Ba -3.453 -1.138 1.517
Ba -7.987 -1.151 4.342
Ba -0.271 -3.913 8.905
Ba -3.277 -1.408 6.850
Ba 4.263 -3.901 6.081
Ba -0.447 -3.644 3.573
```

Results
The uncorrected formation energy is -4.91 eV per formula unit. As for the space-group type: No. 176. For the calculated volume, the calculation gives 36.3 Å³ per atom.

Record 6
Here is an optimized crystal structure of Ba8Pd3I from Alexandria via LeMat-Bulk. Energies are from PBE.

Cell and atoms, written as extended XYZ:
```
24
Lattice="-7.434 -3.774 -4.366 8.443 -4.098 -0.691 -3.158 -8.680 12.881" Properties=species:S:1:pos:R:3 pbc="T T T"
Ba -0.520 -6.755 1.654
Ba 0.094 -11.321 4.208
Ba 4.065 -9.305 6.540
Ba -1.046 -2.875 4.266
Ba -6.321 -9.046 8.440
Ba 3.700 -8.803 1.309
Ba -5.302 -4.742 -2.434
Ba -5.816 -12.981 5.913
Ba -1.331 -2.726 -0.102
Ba -4.053 -9.135 4.655
Ba -0.792 -6.931 -2.803
Ba -2.625 -7.215 10.707
Ba -0.445 -7.116 6.910
Ba 2.819 -4.903 -0.561
Ba -2.101 -11.094 8.095
Ba 3.196 -4.868 3.837
Pd 0.892 -3.899 1.852
Pd 5.097 -5.940 1.508
Pd -2.841 -12.105 5.159
Pd -7.046 -10.064 5.503
Pd 1.395 -7.820 -0.667
Pd -3.344 -8.184 7.678
I -5.218 -12.338 9.407
I 1.653 -8.106 4.192
```

Results
The uncorrected formation energy is -6.15 eV per formula unit. As for the space-group type: No. 186. For the calculated volume, the calculation gives 50.7 Å³ per atom.

Record 7
Here is an optimized crystal structure of Ba4PdI5 from Alexandria via LeMat-Bulk. Energies are from PBE.

Cell and atoms, written as extended XYZ:
```
10
Lattice="4.962 0.000 0.000 0.000 9.943 -0.728 -2.481 -2.219 10.446" Properties=species:S:1:pos:R:3 pbc="T T T"
I 2.481 0.022 6.785
I 2.481 5.103 6.401
I 0.000 2.621 3.317
I 0.000 7.702 2.933
I 2.481 4.971 -0.364
Pd 2.481 0.000 0.000
Ba 2.481 0.230 3.150
Ba 0.000 7.494 6.568
Ba 0.000 2.343 -0.122
Ba 2.481 5.381 9.840
```

Results
The uncorrected formation energy is -14.18 eV per formula unit. As for the space-group type: No. 12. For the calculated volume, the calculation gives 50.7 Å³ per atom.

Record 8
Here is an optimized crystal structure of Ba4Pd2I5 from Alexandria via LeMat-Bulk. Energies are from PBE.

Cell and atoms, written as extended XYZ:
```
11
Lattice="-1.249 -4.662 0.111 7.880 -2.217 -4.495 2.200 2.181 11.408" Properties=species:S:1:pos:R:3 pbc="T T T"
Pd 5.019 -1.154 8.025
Pd 3.812 -3.544 -1.001
I 5.061 -3.734 5.094
I 3.770 -0.964 1.929
I -0.624 -2.331 0.055
I 0.959 -2.581 7.389
I 7.872 -2.117 -0.365
Ba 5.676 -1.595 -3.156
Ba 5.575 -3.956 1.537
Ba 3.154 -3.103 10.180
Ba 3.256 -0.742 5.486
```

Results
The uncorrected formation energy is -13.82 eV per formula unit. As for the space-group type: No. 12. For the calculated volume, the calculation gives 44.3 Å³ per atom.

Record 9
Here is an optimized crystal structure of Ba3PdI2 from Alexandria via LeMat-Bulk. Energies are from PBE.

Cell and atoms, written as extended XYZ:
```
6
Lattice="4.515 0.000 -0.865 -0.464 6.450 -2.422 -0.590 -0.309 9.136" Properties=species:S:1:pos:R:3 pbc="T T T"
I 2.794 1.089 2.366
I 0.668 5.052 3.484
Ba 2.402 3.991 0.324
Ba 0.000 0.000 0.000
Ba 1.059 2.150 5.525
Pd -0.232 3.225 -1.211
```

Results
The uncorrected formation energy is -6.53 eV per formula unit. As for the space-group type: No. 71. For the calculated volume, the calculation gives 43.2 Å³ per atom.

Record 10
Here is an optimized crystal structure of BaPd2PtI from Alexandria via LeMat-Bulk. Energies are from PBE.

Cell and atoms, written as extended XYZ:
```
5
Lattice="5.493 0.000 0.000 0.000 5.425 0.000 0.000 0.000 5.493" Properties=species:S:1:pos:R:3 pbc="T T T"
Pd 0.000 0.000 2.747
Pd 2.747 0.000 0.000
Ba 0.000 0.000 0.000
Pt 0.000 2.713 0.000
I 2.747 2.713 2.747
```

Results
The uncorrected formation energy is 4.85 eV per formula unit. As for the space-group type: No. 123. For the calculated volume, the calculation gives 32.7 Å³ per atom.

Record 11
Here is an optimized crystal structure of Ba4PdPtI2 from Alexandria via LeMat-Bulk. Energies are from PBE.

Cell and atoms, written as extended XYZ:
```
8
Lattice="-4.019 1.196 1.998 -3.477 -6.597 -3.047 3.376 -2.287 8.162" Properties=species:S:1:pos:R:3 pbc="T T T"
Ba -1.967 -6.258 5.189
Ba -2.154 -1.431 1.923
Ba 1.760 -3.607 5.700
Ba -1.862 -5.278 -0.586
Pt -3.748 -2.701 -0.525
I -0.051 -4.442 2.557
I -0.322 -0.546 5.080
Pd 0.000 0.000 0.000
```

Results
The uncorrected formation energy is -8.56 eV per formula unit. As for the space-group type: No. 10. For the calculated volume, the calculation gives 40.8 Å³ per atom.

Record 12
Here is an optimized crystal structure of Ba6PdPt2I3 from Alexandria via LeMat-Bulk. Energies are from PBE.

Cell and atoms, written as extended XYZ:
```
12
Lattice="-5.782 5.257 1.910 4.342 -3.487 5.805 6.257 5.915 -2.986" Properties=species:S:1:pos:R:3 pbc="T T T"
Ba 2.187 7.554 2.850
Ba -0.792 3.086 0.563
Ba 5.610 4.599 4.166
Ba 0.208 2.479 5.024
Ba 2.630 0.130 1.879
Ba 4.610 5.206 -0.295
I -0.975 6.765 1.062
I 5.793 0.920 3.666
I 2.409 3.842 2.364
Pd 0.000 0.000 0.000
Pt -2.408 2.343 3.208
Pt 0.968 -0.573 4.507
```

Results
The uncorrected formation energy is -13.14 eV per formula unit. As for the space-group type: No. 12. For the calculated volume, the calculation gives 40.7 Å³ per atom.

Record 13
Here is an optimized crystal structure of Ba6Pd2PtI3 from Alexandria via LeMat-Bulk. Energies are from PBE.

Cell and atoms, written as extended XYZ:
```
12
Lattice="8.061 -0.001 0.001 -4.030 6.982 0.001 -1.344 -2.327 8.738" Properties=species:S:1:pos:R:3 pbc="T T T"
Ba 2.650 0.000 1.765
Ba -1.325 2.295 1.765
Ba 0.038 4.655 6.974
Ba 2.707 4.687 1.772
Ba -0.019 -0.032 6.968
Ba 4.013 2.359 6.974
Pd 4.028 2.329 0.001
Pd 0.004 4.653 0.001
I 5.360 0.008 4.370
I 1.344 2.327 4.370
I -2.672 4.647 4.370
Pt 0.000 0.000 0.000
```

Results
The uncorrected formation energy is -12.52 eV per formula unit. As for the space-group type: No. 12. For the calculated volume, the calculation gives 41.0 Å³ per atom.

Record 14
Here is an optimized crystal structure of BaPd2PtI from Alexandria via LeMat-Bulk. Energies are from PBE.

Cell and atoms, written as extended XYZ:
```
5
Lattice="4.975 0.000 0.000 0.000 4.975 0.000 0.000 0.000 6.701" Properties=species:S:1:pos:R:3 pbc="T T T"
Pd 2.487 0.000 0.000
Pd 0.000 2.487 0.000
Ba 0.000 0.000 3.351
Pt 2.487 2.487 3.351
I 0.000 0.000 0.000
```

Results
The uncorrected formation energy is 1.54 eV per formula unit. As for the space-group type: No. 123. For the calculated volume, the calculation gives 33.2 Å³ per atom.

Record 15
Here is an optimized crystal structure of Ba6Pd2PtI2 from Alexandria via LeMat-Bulk. Energies are from PBE.

Cell and atoms, written as extended XYZ:
```
11
Lattice="8.046 -0.019 0.070 -3.993 6.986 0.070 -1.448 -2.489 8.731" Properties=species:S:1:pos:R:3 pbc="T T T"
Ba 0.682 5.780 2.737
Ba 4.687 3.450 2.737
Ba 1.923 -1.301 6.134
Ba -2.082 1.029 6.134
Ba 0.610 1.048 2.686
Ba 1.996 3.430 6.186
I -1.984 5.817 0.070
I 6.037 1.150 0.070
Pd -0.727 3.420 4.436
Pd 3.332 1.059 4.436
Pt -0.724 -1.244 4.366
```

Results
The uncorrected formation energy is -9.55 eV per formula unit. As for the space-group type: No. 12. For the calculated volume, the calculation gives 44.8 Å³ per atom.

Record 16
Here is an optimized crystal structure of Ba8PdPt3I3 from Alexandria via LeMat-Bulk. Energies are from PBE.

Cell and atoms, written as extended XYZ:
```
15
Lattice="9.273 0.000 0.000 -4.636 8.027 -0.031 0.000 -5.320 8.721" Properties=species:S:1:pos:R:3 pbc="T T T"
Pd 0.000 -2.660 4.361
Pt 2.318 1.354 4.345
Pt 4.636 -2.660 4.361
Pt -2.318 1.354 4.345
Ba 0.000 2.685 2.629
Ba 4.636 0.022 6.061
Ba 2.309 4.030 6.072
Ba 4.636 2.674 2.601
Ba 6.946 -1.323 2.618
Ba -2.309 4.030 6.072
Ba 2.327 -1.323 2.618
Ba 0.000 0.034 6.089
I 0.000 0.000 0.000
I -2.318 4.014 -0.016
I 2.318 4.014 -0.016
```

Results
The uncorrected formation energy is -14.77 eV per formula unit. As for the space-group type: No. 166. For the calculated volume, the calculation gives 43.2 Å³ per atom.

Record 17
Here is an optimized crystal structure of Ba2PdPtI from Alexandria via LeMat-Bulk. Energies are from PBE.

Cell and atoms, written as extended XYZ:
```
5
Lattice="6.465 0.000 0.000 0.000 5.047 0.000 0.000 0.000 6.465" Properties=species:S:1:pos:R:3 pbc="T T T"
Pt 0.000 2.523 0.000
Ba 3.233 0.000 0.000
Ba 0.000 0.000 3.233
I 0.000 0.000 0.000
Pd 3.233 2.523 3.233
```

Results
The uncorrected formation energy is -0.25 eV per formula unit. As for the space-group type: No. 123. For the calculated volume, the calculation gives 42.2 Å³ per atom.

Record 18
Here is an optimized crystal structure of Rb2BaPdI6 from Alexandria via LeMat-Bulk. Energies are from PBE.

Cell and atoms, written as extended XYZ:
```
10
Lattice="-1.825 -6.567 5.514 7.820 -3.587 -1.684 5.489 -1.843 6.592" Properties=species:S:1:pos:R:3 pbc="T T T"
I 4.141 -3.592 4.062
I 0.787 -5.760 3.565
I 4.372 -7.405 2.793
I 7.343 -8.405 6.360
I 5.209 -4.394 0.265
I 1.623 -2.750 1.037
Pd 2.998 -5.077 1.915
Rb 3.331 -6.744 7.010
Rb 8.153 -5.253 3.411
Ba 0.000 0.000 0.000
```

Results
The uncorrected formation energy is -10.44 eV per formula unit. As for the space-group type: No. 139. For the calculated volume, the calculation gives 47.7 Å³ per atom.

Record 19
Here is an optimized crystal structure of BaRePd2I from Alexandria via LeMat-Bulk. Energies are from PBE.

Cell and atoms, written as extended XYZ:
```
5
Lattice="4.873 0.000 0.000 0.000 6.599 0.000 0.000 0.000 4.873" Properties=species:S:1:pos:R:3 pbc="T T T"
Ba 0.000 3.300 0.000
I 2.437 3.300 2.437
Pd 0.000 0.000 2.437
Pd 2.437 0.000 0.000
Re 0.000 0.000 0.000
```

Results
The uncorrected formation energy is 2.74 eV per formula unit. As for the space-group type: No. 123. For the calculated volume, the calculation gives 31.3 Å³ per atom.

Record 20
Here is an optimized crystal structure of Ba4PdRhI2 from Alexandria via LeMat-Bulk. Energies are from PBE.

Cell and atoms, written as extended XYZ:
```
8
Lattice="4.646 0.000 0.000 0.000 8.050 0.148 0.000 -2.821 8.573" Properties=species:S:1:pos:R:3 pbc="T T T"
Ba 0.000 -0.041 6.898
Ba 0.000 5.270 1.823
Ba 2.323 1.399 1.760
Ba 2.323 3.830 6.961
Pd 0.000 0.000 0.000
Rh 2.323 4.025 0.074
I 0.000 2.614 4.360
I 2.323 -1.411 4.287
```

Results
The uncorrected formation energy is -7.20 eV per formula unit. As for the space-group type: No. 10. For the calculated volume, the calculation gives 40.3 Å³ per atom.